[1]
The following is a DFT calculation (PBE-GGA) of a relaxed Ga2SnPd7 crystal.

The calculation puts the formation energy at -0.5127 eV per atom. The calculation puts the energy above the most stable polymorph in this dataset at 0.00 eV/f.u. The calculation puts the total DFT energy (no corrections) at -5.15 eV/atom.

abc: 4.1088 4.1088 19.7113
angles: 90.00 90.00 90.00
With the nearest neighbours (Å) after each atom.
Space group I4/mmm (No. 139)
Inequivalent atoms, fractional coordinates:
Ga (0.0000, 0.0000, 0.1748) (multiplicity 4)  8 Pd 2.53-2.54
Sn (0.0000, 0.0000, 0.5000) (multiplicity 2)  12 Pd 2.84-2.91
Pd (0.0000, 0.0000, 0.0000) (multiplicity 2)  8 Pd 2.84, 4 Sn 2.91
Pd (0.0000, 0.5000, 0.0992) (multiplicity 8)  2 Ga 2.54, 2 Sn 2.84, 2 Pd 2.84
Pd (0.0000, 0.5000, 0.2500) (multiplicity 4)  4 Ga 2.53

[2]
The following is a DFT calculation (PBE-GGA) of a relaxed GaSnPd2 crystal.

The calculation puts the formation energy at -0.4264 eV per atom. The calculation puts the energy above the most stable polymorph in this dataset at 0.23 eV/f.u. The calculation puts the total DFT energy (no corrections) at -4.78 eV/atom.

abc: 4.5172 4.5172 3.3407
angles: 90.00 90.00 90.00
With the nearest neighbours (Å) after each atom.
Space group P4/mmm (No. 123)
Inequivalent atoms, fractional coordinates:
Ga (0.0000, 0.0000, 0.0000) (multiplicity 1)  8 Pd 2.81
Sn (0.5000, 0.5000, 0.0000) (multiplicity 1)  8 Pd 2.81
Pd (0.0000, 0.5000, 0.5000) (multiplicity 2)  4 Sn 2.81, 4 Ga 2.81

[3]
The following is a DFT calculation (PBE-GGA) of a relaxed Ga2SnPd8 crystal.

The calculation puts the formation energy at -0.5034 eV per atom. The calculation puts the total DFT energy (no corrections) at -5.19 eV/atom.

abc: 14.1725 4.0757 6.3529
angles: 90.00 109.12 90.00
With the nearest neighbours (Å) after each atom.
Space group C2/m (No. 12)
Inequivalent atoms, fractional coordinates:
Ga (0.2064, 0.0000, 0.1693) (multiplicity 4)  9 Pd 2.51-2.77
Sn (0.0000, 0.5000, 0.5000) (multiplicity 2)  8 Pd 2.67-2.88
Pd (0.0359, 0.0000, 0.2398) (multiplicity 4)  1 Ga 2.60, 2 Sn 2.77, 6 Pd 2.82-2.90
Pd (0.0996, 0.5000, 0.9739) (multiplicity 4)  2 Ga 2.60, 5 Pd 2.78-2.84, 1 Sn 2.88
Pd (0.1669, 0.0000, 0.7468) (multiplicity 4)  3 Ga 2.56-2.65, 3 Pd 2.82-2.84
Pd (0.1768, 0.5000, 0.4362) (multiplicity 4)  3 Ga 2.51-2.77, 1 Sn 2.67, 1 Pd 2.78

[4]
The following is a DFT calculation (PBE-GGA) of a relaxed GaSnPd3 crystal.

The calculation puts the formation energy at 0.4832 eV per atom. The calculation puts the energy above the most stable polymorph in this dataset at 4.90 eV/f.u. The calculation puts the total DFT energy (no corrections) at -4.04 eV/atom.

abc: 4.9642 4.9642 4.9642
angles: 90.00 90.00 90.00
With the nearest neighbours (Å) after each atom.
Space group Pm-3m (No. 221)
Inequivalent atoms, fractional coordinates:
Ga (0.0000, 0.0000, 0.0000) (multiplicity 1)  12 Pd 3.51
Sn (0.5000, 0.5000, 0.5000) (multiplicity 1)  6 Pd 2.48
Pd (0.0000, 0.5000, 0.5000) (multiplicity 3)  2 Sn 2.48

[5]
The following is a DFT calculation (PBE-GGA) of a relaxed GaSn3Pd12 crystal.

The calculation puts the formation energy at -0.4899 eV per atom. The calculation puts the total DFT energy (no corrections) at -5.32 eV/atom.

abc: 4.0176 4.0176 15.9851
angles: 90.00 90.00 90.00
With the nearest neighbours (Å) after each atom.
Space group P4/mmm (No. 123)
Inequivalent atoms, fractional coordinates:
Ga (0.0000, 0.0000, 0.0000) (multiplicity 1)  12 Pd 2.77-2.84
Sn (0.0000, 0.0000, 0.2443) (multiplicity 2)  12 Pd 2.84-2.87
Sn (0.0000, 0.0000, 0.5000) (multiplicity 1)  12 Pd 2.84-2.86
Pd (0.0000, 0.5000, 0.1189) (multiplicity 4)  8 Pd 2.77-2.86, 2 Ga 2.77, 2 Sn 2.84
Pd (0.0000, 0.5000, 0.3730) (multiplicity 4)  8 Pd 2.84-2.86, 4 Sn 2.86-2.87
Pd (0.5000, 0.5000, 0.0000) (multiplicity 1)  8 Pd 2.77, 4 Ga 2.84
Pd (0.5000, 0.5000, 0.2466) (multiplicity 2)  4 Sn 2.84, 8 Pd 2.85-2.86
Pd (0.5000, 0.5000, 0.5000) (multiplicity 1)  4 Sn 2.84, 8 Pd 2.86

[6]
The following is a DFT calculation (PBE-GGA) of a relaxed Ga2SnPd7 crystal.

The calculation puts the formation energy at -0.1461 eV per atom. The calculation puts the energy above the most stable polymorph in this dataset at 3.67 eV/f.u. The calculation puts the total DFT energy (no corrections) at -4.79 eV/atom.

abc: 7.3785 12.2316 4.3573
angles: 90.00 90.00 90.00
With the nearest neighbours (Å) after each atom.
Space group Cmmm (No. 65)
Inequivalent atoms, fractional coordinates:
Ga (0.0000, 0.1981, 0.0000) (multiplicity 4)  7 Pd 2.42-2.65
Sn (0.0000, 0.5000, 0.5000) (multiplicity 2)  10 Pd 2.64-2.95
Pd (0.0000, 0.0000, 0.0000) (multiplicity 2)  2 Ga 2.42, 4 Pd 2.71
Pd (0.0000, 0.2841, 0.5000) (multiplicity 4)  2 Ga 2.42, 1 Sn 2.64
Pd (0.1873, 0.3832, 0.0000) (multiplicity 8)  2 Ga 2.51-2.65, 2 Pd 2.71-2.76

[7]
The following is a DFT calculation (PBE-GGA) of a relaxed GaSn2Pd2 crystal.

The calculation puts the formation energy at -0.2778 eV per atom. The calculation puts the energy above the most stable polymorph in this dataset at 0.00 eV/f.u. The calculation puts the total DFT energy (no corrections) at -4.56 eV/atom.

abc: 7.9307 7.9307 3.1770
angles: 90.00 90.00 90.00
With the nearest neighbours (Å) after each atom.
Space group P4/mbm (No. 127)
Inequivalent atoms, fractional coordinates:
Ga (0.0000, 0.0000, 0.0000) (multiplicity 2)  4 Pd 3.10, 2 Ga 3.18, 8 Sn 3.36
Sn (0.1644, 0.3356, 0.5000) (multiplicity 4)  6 Pd 2.78-2.85
Pd (0.1320, 0.6320, 0.0000) (multiplicity 4)  6 Sn 2.78-2.85, 1 Pd 2.96, 2 Ga 3.10

[8]
The following is a DFT calculation (PBE-GGA) of a relaxed Ga2SnPd8 crystal.

The calculation puts the formation energy at -0.5044 eV per atom. The calculation puts the total DFT energy (no corrections) at -5.20 eV/atom.

abc: 4.1001 6.9887 12.2725
angles: 90.00 90.00 90.00
With the nearest neighbours (Å) after each atom.
Space group Immm (No. 71)
Inequivalent atoms, fractional coordinates:
Ga (0.0000, 0.0000, 0.1841) (multiplicity 4)  10 Pd 2.59-2.88
Sn (0.0000, 0.0000, 0.5000) (multiplicity 2)  12 Pd 2.76-2.95
Pd (0.0000, 0.1971, 0.0000) (multiplicity 4)  2 Ga 2.65, 7 Pd 2.75-2.88, 2 Sn 2.95
Pd (0.0000, 0.2771, 0.3363) (multiplicity 8)  3 Ga 2.59-2.69, 5 Pd 2.76-2.88, 1 Sn 2.79
Pd (0.0000, 0.5000, 0.1506) (multiplicity 4)  8 Pd 2.76-2.82, 2 Sn 2.76, 2 Ga 2.88

[9]
The following is a DFT calculation (PBE-GGA) of a relaxed Ga3SnPd7 crystal.

The calculation puts the formation energy at -0.4243 eV per atom. The calculation puts the total DFT energy (no corrections) at -4.92 eV/atom.

abc: 8.0559 9.2378 5.2154
angles: 90.00 107.54 90.00
With the nearest neighbours (Å) after each atom.
Space group C2/m (No. 12)
Inequivalent atoms, fractional coordinates:
Ga (0.0000, 0.0000, 0.0000) (multiplicity 2)  6 Pd 2.46-2.60
Ga (0.0000, 0.2272, 0.5000) (multiplicity 4)  7 Pd 2.51-2.55
Sn (0.0000, 0.5000, 0.0000) (multiplicity 2)  4 Pd 2.61-2.64
Pd (0.0000, 0.5000, 0.5000) (multiplicity 2)  2 Ga 2.52, 2 Sn 2.61
Pd (0.1816, 0.0000, 0.6636) (multiplicity 4)  3 Ga 2.55-2.60, 1 Sn 2.64
Pd (0.1976, 0.1985, 0.2118) (multiplicity 8)  3 Ga 2.46-2.54

[10]
The following is a DFT calculation (PBE-GGA) of a relaxed GaSn6Pd crystal.

The calculation puts the formation energy at -0.0449 eV per atom. The calculation puts the total DFT energy (no corrections) at -4.07 eV/atom.

abc: 13.4905 9.6796 9.5717
angles: 90.00 133.96 90.00
With the nearest neighbours (Å) after each atom.
Space group C2/m (No. 12)
Inequivalent atoms, fractional coordinates:
Ga (0.2500, 0.2500, 0.0000) (multiplicity 4)  6 Sn 2.79-2.80
Sn (0.0046, 0.1558, 0.3488) (multiplicity 8)  1 Pd 2.69, 1 Ga 2.80, 1 Sn 2.98
Sn (0.1450, 0.5000, 0.9978) (multiplicity 4)  2 Ga 2.80, 2 Sn 2.98-3.02
Sn (0.1537, 0.1546, 0.1625) (multiplicity 8)  1 Pd 2.67, 1 Ga 2.79, 2 Sn 2.99
Sn (0.1609, 0.5000, 0.3288) (multiplicity 4)  2 Pd 2.69, 1 Sn 2.98
Pd (0.2500, 0.2500, 0.5000) (multiplicity 4)  6 Sn 2.67-2.69

[11]
The following is a DFT calculation (PBE-GGA) of a relaxed GaSnPd2 crystal.

The calculation puts the formation energy at -0.4343 eV per atom. The calculation puts the energy above the most stable polymorph in this dataset at 0.20 eV/f.u. The calculation puts the total DFT energy (no corrections) at -4.79 eV/atom.

abc: 3.4347 3.4347 21.5828
angles: 90.00 90.00 120.00
With the nearest neighbours (Å) after each atom.
Space group R3m (No. 160, hexagonal axes)
Inequivalent atoms, fractional coordinates:
Ga (0.0000, 0.0000, 0.0000) (multiplicity 3)  6 Pd 2.53-2.54
Sn (0.0000, 0.0000, 0.8329) (multiplicity 3)  6 Pd 2.83
Pd (0.0000, 0.0000, 0.2595) (multiplicity 3)  3 Ga 2.54, 3 Sn 2.83
Pd (0.0000, 0.0000, 0.4063) (multiplicity 3)  3 Ga 2.53, 3 Sn 2.83

[12]
The following is a DFT calculation (PBE-GGA) of a relaxed GaSnPd3 crystal.

The calculation puts the formation energy at -0.4976 eV per atom. The calculation puts the energy above the most stable polymorph in this dataset at 0.00 eV/f.u. The calculation puts the total DFT energy (no corrections) at -5.02 eV/atom.

abc: 6.9364 3.4399 7.1612
angles: 90.00 97.84 90.00
With the nearest neighbours (Å) after each atom.
Space group P2_1/m (No. 11)
Inequivalent atoms, fractional coordinates:
Ga (0.0124, 0.2500, 0.3172) (multiplicity 2)  7 Pd 2.61-2.70
Sn (0.4331, 0.2500, 0.2109) (multiplicity 2)  8 Pd 2.70-2.96
Pd (0.1421, 0.7500, 0.0910) (multiplicity 2)  2 Ga 2.61, 2 Sn 2.70, 5 Pd 2.80-2.86
Pd (0.2616, 0.2500, 0.8090) (multiplicity 2)  2 Ga 2.63, 2 Sn 2.75, 4 Pd 2.86-2.91
Pd (0.2824, 0.7500, 0.4845) (multiplicity 2)  3 Ga 2.64-2.70, 3 Sn 2.73-2.91, 3 Pd 2.85-2.91

- Number 7 is which compound?
  GaSn2Pd2